# PBE+U CoGeIrO6, relaxed
data_CoGeIrO6
_chemical_formula_sum 'Co2 Ge2 Ir2 O12'
_space_group_name_H-M_alt 'P -3 1 c'
_space_group_IT_number 163
_space_group_name_Hall '-P 3 2c'
_cell_length_a 5.0543
_cell_length_b 5.0543
_cell_length_c 8.7063
_cell_angle_alpha 90.00
_cell_angle_beta 90.00
_cell_angle_gamma 120.00
loop_
_atom_site_label
_atom_site_fract_x
_atom_site_fract_y
_atom_site_fract_z
_atom_site_occupancy
Co1 0.0000 0.0000 0.0000 1
Ge1 0.3333 0.6667 0.2500 1
Ir1 0.3333 0.6667 0.7500 1
O1 0.0051 0.3537 0.1316 1
# Calculated total energy (eV/atom): -6.373
# Magnetization (μB per cell): 3.7